#a
First-principles (GGA-PBE) data for crystalline TiV3W2 at its relaxed geometry, as listed in the Alexandria database.

```
12
Lattice="-3.3492 -3.7130 -0.9480 4.5775 -1.1301 1.9161 -2.9610 0.7517 7.5171" Properties=species:S:1:pos:R:3 pbc="T T T"
V -1.2126 -0.4676 6.1155
Ti 1.7440 -1.9425 1.4469
V -2.7310 -3.0780 1.4442
W 0.0000 0.0000 0.0000
W -1.4805 0.3758 3.7585
V 0.9983 -1.0134 7.0410
V -1.1134 -1.2847 1.9021
Ti -3.4767 -2.1489 7.0383
W 0.6294 -1.6596 4.2767
V -0.6193 -2.8068 6.5831
V -0.5201 -3.6239 2.3697
W -2.3621 -2.4319 4.2085
```

Summary:
M_tot = 0.0 μB per formula unit
Symmetry = P-3m1

#b
First-principles (GGA-PBE) data for crystalline TiV3W2 at its relaxed geometry, as listed in the Alexandria database.

```
12
Lattice="0.8315 -4.2819 -0.4447 2.6194 -0.1234 6.0855 -6.3422 0.7604 2.4346" Properties=species:S:1:pos:R:3 pbc="T T T"
V -4.2541 -3.3217 2.4150
Ti -1.9796 -3.2201 5.6896
V -3.5541 -0.8511 1.5494
Ti -0.9116 -0.4248 2.3858
V -3.4396 -1.1049 4.2078
W -3.4071 -1.3866 6.9806
W 0.5159 -2.2583 1.0948
V 0.6628 -2.7939 6.5260
W -1.0490 -0.7306 5.0733
W -1.8423 -2.9143 3.0021
V 1.3628 -0.3233 5.6604
V 0.5484 -2.5400 3.8676
```

Summary:
M_tot = 0.0 μB per formula unit
Symmetry = C2/m

Most stable to least stable, the ends of the list are #a and #b.